No. 1
DFT (PBE) results for a relaxed Li2TaOs crystal.

Properties
E_form: 1.9 eV per formula unit
Fermi-level density of states: 0.767 states/eV/atom

Lattice parameters (Å, degrees): 2.589 2.589 9.327 90.00 90.00 90.00
Element x y z (fractional)
1 Li 0.000 0.000 0.226
2 Li 0.000 0.000 0.774
3 Ta 0.500 0.500 0.500
4 Os 0.500 0.500 0.000

---

No. 2
DFT (PBE) results for a relaxed Ca2CdGaRh crystal.

Properties
E_form: -1.7 eV per formula unit
Fermi-level density of states: 0.395 states/eV/atom

Lattice parameters (Å, degrees): 5.461 5.461 4.784 90.00 90.00 90.00
Element x y z (fractional)
1 Ca 0.000 0.500 0.000
2 Ca 0.500 0.000 0.000
3 Cd 0.000 0.000 0.500
4 Ga 0.500 0.500 0.500
5 Rh 0.500 0.500 0.000

---

No. 3
DFT (PBE) results for a relaxed PuPaGa crystal.

Properties
E_form: -0.7 eV per formula unit
Fermi-level density of states: 1.833 states/eV/atom

Lattice parameters (Å, degrees): 5.301 5.319 9.361 90.00 94.07 90.00
Element x y z (fractional)
1 Pu 0.000 0.217 0.000
2 Pu 0.000 0.783 0.500
3 Pu 0.500 0.283 0.500
4 Pu 0.500 0.717 0.000
5 Pa 0.446 0.288 0.153
6 Pa 0.446 0.712 0.653
7 Pa 0.946 0.212 0.653
8 Pa 0.946 0.788 0.153
9 Ga 0.474 0.211 0.828
10 Ga 0.474 0.789 0.328
11 Ga 0.974 0.289 0.328
12 Ga 0.974 0.711 0.828

---

No. 4
DFT (PBE) results for a relaxed LiCu3O3 crystal.

Properties
Raw formation energy: -0.784 eV per atom
Fermi-level density of states: 0.564 states/eV/atom

Lattice parameters (Å, degrees): 4.058 4.058 4.058 90.00 90.00 90.00
Element x y z (fractional)
1 Li 0.000 0.000 0.000
2 Cu 0.000 0.500 0.500
3 Cu 0.500 0.000 0.500
4 Cu 0.500 0.500 0.000
5 O 0.000 0.000 0.500
6 O 0.000 0.500 0.000
7 O 0.500 0.000 0.000

---

No. 5
DFT (PBE) results for a relaxed MgTa2Zn2O8 crystal.

Properties
Raw formation energy: -2.410 eV per atom
Fermi-level density of states: 0.000 states/eV/atom

Lattice parameters (Å, degrees): 10.118 10.118 5.274 90.06 90.06 34.10
Element x y z (fractional)
1 Mg 0.145 0.855 0.750
2 Mg 0.855 0.145 0.250
3 Ta 0.227 0.544 0.234
4 Ta 0.456 0.773 0.266
5 Ta 0.544 0.227 0.734
6 Ta 0.773 0.456 0.766
7 Zn 0.065 0.373 0.267
8 Zn 0.373 0.065 0.767
9 Zn 0.627 0.935 0.233
10 Zn 0.935 0.627 0.733
11 O 0.045 0.341 0.639
12 O 0.067 0.817 0.089
13 O 0.183 0.933 0.411
14 O 0.220 0.425 0.935
15 O 0.316 0.546 0.572
16 O 0.341 0.045 0.139
17 O 0.425 0.220 0.435
18 O 0.454 0.684 0.928
19 O 0.546 0.316 0.072
20 O 0.575 0.780 0.565
21 O 0.659 0.955 0.861
22 O 0.684 0.454 0.428
23 O 0.780 0.575 0.065
24 O 0.817 0.067 0.589
25 O 0.933 0.183 0.911
26 O 0.955 0.659 0.361

---

No. 6
DFT (PBE) results for a relaxed Dy4SnC crystal.

Properties
E_form: -2.3 eV per formula unit
Fermi-level density of states: 0.801 states/eV/atom

Lattice parameters (Å, degrees): 9.587 9.587 6.783 90.00 90.00 150.42
Element x y z (fractional)
1 Dy 0.000 0.000 0.000
2 Dy 0.000 0.000 0.500
3 Dy 0.183 0.817 0.504
4 Dy 0.183 0.817 0.996
5 Dy 0.403 0.597 0.750
6 Dy 0.597 0.403 0.250
7 Dy 0.817 0.183 0.004
8 Dy 0.817 0.183 0.496
9 Sn 0.408 0.592 0.250
10 Sn 0.592 0.408 0.750
11 C 0.098 0.902 0.250
12 C 0.902 0.098 0.750

---

No. 7
DFT (PBE) results for a relaxed GdLuPuPa crystal.

Properties
E_form: 1.2 eV per formula unit
Fermi-level density of states: 2.758 states/eV/atom

Lattice parameters (Å, degrees): 7.593 7.593 7.593 90.00 90.00 90.00
Element x y z (fractional)
1 Gd 0.000 0.000 0.000
2 Gd 0.000 0.500 0.500
3 Gd 0.500 0.000 0.500
4 Gd 0.500 0.500 0.000
5 Lu 0.250 0.250 0.750
6 Lu 0.250 0.750 0.250
7 Lu 0.750 0.250 0.250
8 Lu 0.750 0.750 0.750
9 Pu 0.000 0.000 0.500
10 Pu 0.000 0.500 0.000
11 Pu 0.500 0.000 0.000
12 Pu 0.500 0.500 0.500
13 Pa 0.250 0.250 0.250
14 Pa 0.250 0.750 0.750
15 Pa 0.750 0.250 0.750
16 Pa 0.750 0.750 0.250

---

No. 8
DFT (PBE) results for a relaxed ZrSc3In4 crystal.

Properties
E_form: -3.0 eV per formula unit
Fermi-level density of states: 0.805 states/eV/atom

Lattice parameters (Å, degrees): 10.306 6.497 5.344 90.00 90.00 90.00
Element x y z (fractional)
1 Zr 0.000 0.000 0.000
2 Zr 0.500 0.000 0.000
3 Sc 0.000 0.500 0.000
4 Sc 0.250 0.000 0.368
5 Sc 0.250 0.500 0.370
6 Sc 0.500 0.500 0.000
7 Sc 0.750 0.000 0.632
8 Sc 0.750 0.500 0.630
9 In 0.000 0.251 0.500
10 In 0.000 0.749 0.500
11 In 0.250 0.252 0.870
12 In 0.250 0.748 0.870
13 In 0.500 0.251 0.500
14 In 0.500 0.749 0.500
15 In 0.750 0.252 0.130
16 In 0.750 0.748 0.130

---

No. 9
DFT (PBE) results for a relaxed AcHgPd crystal.

Properties
E_form: -2.1 eV per formula unit
Fermi-level density of states: 0.585 states/eV/atom

Lattice parameters (Å, degrees): 8.006 8.006 4.219 90.00 90.00 120.00
Element x y z (fractional)
1 Ac 0.000 0.597 0.000
2 Ac 0.403 0.403 0.000
3 Ac 0.597 0.000 0.000
4 Hg 0.000 0.253 0.500
5 Hg 0.253 0.000 0.500
6 Hg 0.747 0.747 0.500
7 Pd 0.000 0.000 0.000
8 Pd 0.333 0.667 0.500
9 Pd 0.667 0.333 0.500

---

No. 10
DFT (PBE) results for a relaxed UAlPt2 crystal.

Properties
E_form: -3.1 eV per formula unit
Fermi-level density of states: 1.869 states/eV/atom

Lattice parameters (Å, degrees): 7.379 6.894 5.882 90.00 90.00 90.00
Element x y z (fractional)
1 U 0.035 0.250 0.162
2 U 0.465 0.750 0.662
3 U 0.535 0.250 0.338
4 U 0.965 0.750 0.838
5 Al 0.110 0.750 0.337
6 Al 0.390 0.250 0.837
7 Al 0.610 0.750 0.163
8 Al 0.890 0.250 0.663
9 Pt 0.187 0.046 0.580
10 Pt 0.187 0.454 0.580
11 Pt 0.313 0.546 0.080
12 Pt 0.313 0.954 0.080
13 Pt 0.687 0.046 0.920
14 Pt 0.687 0.454 0.920
15 Pt 0.813 0.546 0.420
16 Pt 0.813 0.954 0.420

---

No. 11
DFT (PBE) results for a relaxed CdNiP2Cl crystal.

Properties
Raw formation energy: 0.261 eV per atom
Fermi-level density of states: 0.623 states/eV/atom

Lattice parameters (Å, degrees): 4.153 4.153 7.090 90.00 90.00 90.00
Element x y z (fractional)
1 Cd 0.000 0.000 0.000
2 Ni 0.500 0.500 0.500
3 P 0.000 0.500 0.500
4 P 0.500 0.000 0.500
5 Cl 0.500 0.500 0.000

---

No. 12
DFT (PBE) results for a relaxed ErZrCuHg crystal.

Properties
E_form: -0.6 eV per formula unit
Fermi-level density of states: 1.090 states/eV/atom

Lattice parameters (Å, degrees): 6.998 6.998 6.998 90.00 90.00 90.00
Element x y z (fractional)
1 Er 0.000 0.000 0.000
2 Er 0.000 0.500 0.500
3 Er 0.500 0.000 0.500
4 Er 0.500 0.500 0.000
5 Zr 0.000 0.000 0.500
6 Zr 0.000 0.500 0.000
7 Zr 0.500 0.000 0.000
8 Zr 0.500 0.500 0.500
9 Cu 0.250 0.250 0.250
10 Cu 0.250 0.750 0.750
11 Cu 0.750 0.250 0.750
12 Cu 0.750 0.750 0.250
13 Hg 0.250 0.250 0.750
14 Hg 0.250 0.750 0.250
15 Hg 0.750 0.250 0.250
16 Hg 0.750 0.750 0.750